1.
# Pr2TiMnS6

An optimized crystal structure of Pr2TiMnS6 (PBE-GGA, Alexandria via LeMat-Bulk).

a b c (Å): 6.386 7.099 9.315
angles (deg): 90.00 90.44 90.00
Site moments in Bohr magnetons follow the coordinates.
Atoms (fractional coordinates):
1 S 0.174 0.193 0.446  0.03
2 Mn 0.000 0.500 0.000  4.07
3 S 0.816 0.818 0.947  0.02
4 Mn 0.500 0.000 0.500  4.07
5 S 0.316 0.682 0.447  0.02
6 S 0.184 0.182 0.053  0.02
7 Pr 0.961 0.101 0.752  0.02
8 Pr 0.039 0.899 0.248  0.02
9 S 0.388 0.977 0.752  0.02
10 S 0.888 0.523 0.252  0.02
11 S 0.612 0.023 0.248  0.02
12 S 0.684 0.318 0.553  0.02
13 S 0.674 0.307 0.946  0.03
14 S 0.826 0.807 0.554  0.03
15 Ti 0.500 0.000 0.000  0.27
16 Pr 0.539 0.601 0.748  0.02
17 S 0.112 0.477 0.748  0.02
18 Ti 0.000 0.500 0.500  0.27
19 Pr 0.461 0.399 0.252  0.02
20 S 0.326 0.693 0.054  0.03

Output
Magnetic moment, μB per cell: 9.9
Uncorrected formation energy, kcal/mol of atoms: -35.42
Space group: P2_1/c (14)


2.
# NbCuO2F

An optimized crystal structure of NbCuO2F (PBE-GGA, Alexandria via LeMat-Bulk).

a b c (Å): 3.909 3.909 3.690
angles (deg): 90.00 90.00 90.00
Site moments in Bohr magnetons follow the coordinates.
Atoms (fractional coordinates):
1 Nb 0.500 0.500 0.500  2.01
2 Cu 0.000 0.000 0.000  -0.02
3 F 0.000 0.000 0.500  0.03
4 O 0.500 0.000 0.000  -0.06
5 O 0.000 0.500 0.000  -0.06

Output
Magnetic moment, μB per cell: 2.2
Uncorrected formation energy, kcal/mol of atoms: -13.65
Space group: P4/mmm (123)


3.
# EuIn2Ni

An optimized crystal structure of EuIn2Ni (PBE-GGA, Alexandria via LeMat-Bulk).

a b c (Å): 3.344 3.344 7.888
angles (deg): 90.00 90.00 90.00
Site moments in Bohr magnetons follow the coordinates.
Atoms (fractional coordinates):
1 In 0.000 0.000 0.190  -0.02
2 Ni 0.500 0.500 0.000  -0.04
3 Eu 0.500 0.500 0.500  6.88
4 In 0.000 0.000 0.810  -0.02

Output
Magnetic moment, μB per cell: 7.0
Space group: P4/mmm (123)
Energy above the most stable polymorph in this dataset, meV/atom: 140
DFT formation energy, eV per atom: -0.238


4.
# Nd15YIn4

An optimized crystal structure of Nd15YIn4 (PBE-GGA, Alexandria via LeMat-Bulk).

a b c (Å): 4.993 4.993 25.475
angles (deg): 90.00 90.00 90.00
Atoms (fractional coordinates):
1 In 0.000 0.000 0.206
2 Nd 0.500 0.500 0.205
3 Nd 0.500 0.000 0.697
4 Nd 0.500 0.000 0.500
5 Nd 0.500 0.000 0.894
6 Nd 0.500 0.000 0.106
7 Nd 0.500 0.000 0.303
8 Nd 0.500 0.500 0.000
9 Nd 0.000 0.500 0.894
10 Nd 0.000 0.500 0.106
11 Nd 0.500 0.500 0.795
12 Nd 0.000 0.500 0.500
13 Nd 0.000 0.500 0.697
14 Nd 0.500 0.500 0.402
15 Nd 0.500 0.500 0.598
16 Y 0.000 0.000 0.000
17 In 0.000 0.000 0.598
18 Nd 0.000 0.500 0.303
19 In 0.000 0.000 0.794
20 In 0.000 0.000 0.402

Output
Magnetic moment, μB per cell: 0.0
Space group: P4/mmm (123)
DFT formation energy, eV per atom: -0.211


5.
# Ce2Nd3Dy6Tm

An optimized crystal structure of Ce2Nd3Dy6Tm (PBE-GGA, Alexandria via LeMat-Bulk).

a b c (Å): 6.182 6.182 11.781
angles (deg): 95.01 95.01 119.98
Site moments in Bohr magnetons follow the coordinates.
Atoms (fractional coordinates):
1 Ce 0.334 0.666 0.000  0.73
2 Nd 0.834 0.166 0.500  -0.01
3 Ce 0.666 0.334 0.000  0.73
4 Nd 0.166 0.834 0.500  -0.01
5 Dy 0.417 0.082 0.245  0.02
6 Dy 0.747 0.747 0.245  0.02
7 Dy 0.583 0.918 0.755  0.02
8 Nd 0.500 0.500 0.500  -0.01
9 Tm 0.000 0.000 0.000  0.07
10 Dy 0.918 0.583 0.755  0.02
11 Dy 0.082 0.417 0.245  0.02
12 Dy 0.253 0.253 0.755  0.02

Output
Magnetic moment, μB per cell: 1.9
Space group: C2/m (12)
DFT formation energy, eV per atom: 0.045


6.
# PrDy2Sb

An optimized crystal structure of PrDy2Sb (PBE-GGA, Alexandria via LeMat-Bulk).

a b c (Å): 3.985 3.985 10.043
angles (deg): 78.56 78.56 60.00
Atoms (fractional coordinates):
1 Dy 0.733 0.733 0.801
2 Dy 0.267 0.267 0.199
3 Pr 0.500 0.500 0.500
4 Sb 0.000 0.000 0.000

Output
Magnetic moment, μB per cell: 0.0
Uncorrected formation energy, kcal/mol of atoms: -7.84
Space group: R-3m (166)
Energy above the most stable polymorph in this dataset, meV/atom: 225


7.
# TbDy14Pu

An optimized crystal structure of TbDy14Pu (PBE-GGA, Alexandria via LeMat-Bulk).

a b c (Å): 7.205 7.205 11.247
angles (deg): 90.00 90.00 119.96
Site moments in Bohr magnetons follow the coordinates.
Atoms (fractional coordinates):
1 Dy 0.833 0.167 0.500  0.23
2 Dy 0.334 0.167 0.000  -0.10
3 Dy 0.333 0.167 0.500  0.08
4 Dy 0.668 0.332 0.248  -0.05
5 Dy 0.163 0.332 0.752  -0.04
6 Dy 0.668 0.837 0.752  -0.04
7 Dy 0.833 0.667 0.500  0.08
8 Dy 0.668 0.332 0.752  -0.05
9 Dy 0.167 0.833 0.252  0.04
10 Dy 0.833 0.666 0.000  -0.10
11 Tb 0.334 0.666 0.000  -0.09
12 Pu 0.834 0.166 0.000  -5.58
13 Dy 0.167 0.833 0.748  0.04
14 Dy 0.668 0.837 0.248  -0.04
15 Dy 0.333 0.667 0.500  0.08
16 Dy 0.163 0.332 0.248  -0.04

Output
Magnetic moment, μB per cell: 6.0
Space group: Amm2 (38)
DFT formation energy, eV per atom: 0.029


8.
# Zn3Ni2Rh2

An optimized crystal structure of Zn3Ni2Rh2 (PBE-GGA, Alexandria via LeMat-Bulk).

a b c (Å): 4.436 3.894 6.825
angles (deg): 106.61 104.20 115.94
Atoms (fractional coordinates):
1 Ni 0.156 0.295 0.434
2 Rh 0.747 0.451 0.155
3 Zn 0.539 0.122 0.706
4 Zn 0.000 0.000 0.000
5 Rh 0.253 0.549 0.845
6 Zn 0.461 0.878 0.294
7 Ni 0.844 0.705 0.566

Output
Magnetic moment, μB per cell: 0.0
Space group: P-1 (2)
DFT formation energy, eV per atom: -0.216


9.
# MoPbAu2

An optimized crystal structure of MoPbAu2 (PBE-GGA, Alexandria via LeMat-Bulk).

a b c (Å): 3.991 3.991 10.886
angles (deg): 79.44 79.44 90.00
Site moments in Bohr magnetons follow the coordinates.
Atoms (fractional coordinates):
1 Au 0.134 0.625 0.250  0.02
2 Au 0.375 0.384 0.750  0.03
3 Mo 0.500 0.500 0.000  1.38
4 Pb 0.750 0.250 0.500  -0.07
5 Mo 0.250 0.750 0.500  1.39
6 Au 0.616 0.125 0.250  0.01
7 Au 0.875 0.866 0.750  0.03
8 Pb 0.000 0.000 0.000  -0.07

Output
Magnetic moment, μB per cell: 3.0
Space group: I-42d (122)
DFT formation energy, eV per atom: 0.606


10.
# K3RbGa

An optimized crystal structure of K3RbGa (PBE-GGA, Alexandria via LeMat-Bulk).

a b c (Å): 7.462 7.462 7.462
angles (deg): 90.00 90.00 90.00
Atoms (fractional coordinates):
1 Ga 0.500 0.500 0.500
2 K 0.000 0.000 0.500
3 Rb 0.000 0.000 0.000
4 K 0.000 0.500 0.000
5 K 0.500 0.000 0.000

Output
Magnetic moment, μB per cell: 0.0
Space group: Pm-3m (221)
Energy above the most stable polymorph in this dataset, meV/atom: 474
DFT formation energy, eV per atom: 0.588


11.
# NaBeNb2Hg

An optimized crystal structure of NaBeNb2Hg (PBE-GGA, Alexandria via LeMat-Bulk).

a b c (Å): 5.262 4.359 5.262
angles (deg): 90.00 90.00 90.00
Atoms (fractional coordinates):
1 Nb 0.500 0.000 0.000
2 Na 0.500 0.500 0.500
3 Hg 0.000 0.000 0.000
4 Nb 0.000 0.000 0.500
5 Be 0.000 0.500 0.000

Output
Magnetic moment, μB per cell: 0.0
Space group: P4/mmm (123)
Energy above the most stable polymorph in this dataset, meV/atom: 0
DFT formation energy, eV per atom: 1.609


12.
# Li2In2Te

An optimized crystal structure of Li2In2Te (PBE-GGA, Alexandria via LeMat-Bulk).

a b c (Å): 8.559 8.559 3.195
angles (deg): 90.00 90.00 90.00
Atoms (fractional coordinates):
1 Li 0.676 0.824 0.500
2 Te 0.500 0.500 0.000
3 In 0.627 0.127 0.000
4 In 0.373 0.873 0.000
5 In 0.873 0.627 0.000
6 Li 0.324 0.176 0.500
7 Li 0.176 0.676 0.500
8 In 0.127 0.373 0.000
9 Li 0.824 0.324 0.500
10 Te 0.000 0.000 0.000

Output
Magnetic moment, μB per cell: 0.0
Uncorrected formation energy, kcal/mol of atoms: -4.44
Space group: P4/mbm (127)
Energy above the most stable polymorph in this dataset, meV/atom: 111


Q: Number 7 is which compound?
A: TbDy14Pu